No. 1
Crystalline Y2CuO4 at its relaxed geometry. Source: Alexandria, functional PBEsol.

It has space group Cmce (No. 64), with a = 11.6814 Å, b = 5.4172 Å, c = 5.4112 Å, α = 90.00°, β = 90.00° and γ = 90.00°. The inequivalent atoms are Y at (0.1533, 0.0000, 0.0000), Cu at (0.0000, 0.0000, 0.5000), O at (0.0000, 0.2084, 0.2082) and O at (0.2500, 0.2422, 0.7500).

The distance to the lowest polymorph of the same formula is 0.000 eV/atom. The value obtained for the energy relative to the elements, uncorrected is -265.6 kJ per mole of atoms.



No. 2
Crystalline YCu7O12 at its relaxed geometry. Source: Alexandria, functional PBEsol.

It has space group Im-3 (No. 204), with a = 7.2084 Å, b = 7.2084 Å, c = 7.2084 Å, α = 90.00°, β = 90.00° and γ = 90.00°. The inequivalent atoms are Y at (0.0000, 0.0000, 0.0000), Cu at (0.0000, 0.0000, 0.5000), Cu at (0.2500, 0.2500, 0.2500) and O at (0.0000, 0.1695, 0.3058).

The value obtained for the energy relative to the elements, uncorrected is -85.1 kJ per mole of atoms.



No. 3
Crystalline YCuO3 at its relaxed geometry. Source: Alexandria, functional PBEsol.

It has space group Pnma (No. 62), with a = 6.1432 Å, b = 6.9444 Å, c = 5.1666 Å, α = 90.00°, β = 90.00° and γ = 90.00°. The inequivalent atoms are Y at (0.1026, 0.2500, 0.0265), Cu at (0.0000, 0.0000, 0.5000), O at (0.0457, 0.7500, 0.3784) and O at (0.1602, 0.5499, 0.7950).

The value obtained for the energy relative to the elements, uncorrected is -200.8 kJ per mole of atoms.



No. 4
Crystalline Y2CuO4 at its relaxed geometry. Source: Alexandria, functional PBEsol.

It has space group I4/mmm (No. 139), with a = 3.8209 Å, b = 3.8209 Å, c = 11.5420 Å, α = 90.00°, β = 90.00° and γ = 90.00°. The inequivalent atoms are Y at (0.0000, 0.0000, 0.1513), Cu at (0.0000, 0.0000, 0.5000), O at (0.0000, 0.5000, 0.0000) and O at (0.0000, 0.5000, 0.2500).

The distance to the lowest polymorph of the same formula is 0.008 eV/atom. The value obtained for the energy relative to the elements, uncorrected is -264.8 kJ per mole of atoms.



No. 5
Crystalline ZnCu2O4 at its relaxed geometry. Source: Alexandria, functional PBEsol.

It has space group I4_1/amd (No. 141, origin choice 2), with a = 5.4089 Å, b = 5.4089 Å, c = 10.3350 Å, α = 90.00°, β = 90.00° and γ = 90.00°. The inequivalent atoms are Zn at (0.0000, 0.2500, 0.3750), Cu at (0.0000, 0.0000, 0.0000) and O at (0.0000, 0.0209, 0.7510).

The distance to the lowest polymorph of the same formula is 0.000 eV/atom. The value obtained for the energy relative to the elements, uncorrected is -69.5 kJ per mole of atoms.



No. 6
Crystalline ZnCu2O4 at its relaxed geometry. Source: Alexandria, functional PBEsol.

It has space group Pbcm (No. 57), with a = 3.0174 Å, b = 9.8097 Å, c = 9.1178 Å, α = 90.00°, β = 90.00° and γ = 90.00°. The inequivalent atoms are Zn at (0.1436, 0.1495, 0.2500), Cu at (0.3398, 0.6158, 0.5698), O at (0.0186, 0.2500, 0.0000), O at (0.3531, 0.7028, 0.7500) and O at (0.3591, 0.5428, 0.1163).

The distance to the lowest polymorph of the same formula is 0.013 eV/atom. The value obtained for the energy relative to the elements, uncorrected is -68.2 kJ per mole of atoms.